# 1
## Ho4HgSe2 (GGA-PBE)

Data for an optimized crystal structure of Ho4HgSe2.

calculated density	9.084	g cm⁻³
DFT total energy	-4.74	eV per atom
Fermi-level density of states	4.74	states/eV/cell

Unit cell a=14.3802 b=14.3802 c=14.3802 alpha=15.55 beta=15.55 gamma=15.55
With the nearest neighbours (Å) after each atom.
Element x y z (fractional)
Ho 0.1339 0.1339 0.1339  3 Se 2.89
Ho 0.2839 0.2839 0.2839  3 Se 2.86, 3 Hg 3.08
Ho 0.7161 0.7161 0.7161  3 Se 2.86, 3 Hg 3.08
Ho 0.8661 0.8661 0.8661  3 Se 2.89
Hg 0.0000 0.0000 0.0000  6 Ho 3.08
Se 0.4244 0.4244 0.4244  6 Ho 2.86-2.89
Se 0.5756 0.5756 0.5756  6 Ho 2.86-2.89


# 2
## Ho2HgSe (GGA-PBE)

Data for an optimized crystal structure of Ho2HgSe.

calculated density	9.822	g cm⁻³
DFT total energy	-4.32	eV per atom
Fermi-level density of states	6.62	states/eV/cell

Unit cell a=3.9600 b=3.9600 c=22.7607 alpha=90.00 beta=90.00 gamma=120.00
With the nearest neighbours (Å) after each atom.
Element x y z (fractional)
Ho 0.0000 0.0000 0.2435  3 Se 2.88, 3 Hg 3.07
Ho 0.0000 0.0000 0.7565  3 Se 2.88, 3 Hg 3.07
Ho 0.3333 0.6667 0.4232  3 Se 2.88, 3 Hg 3.07
Ho 0.3333 0.6667 0.9101  3 Se 2.88, 3 Hg 3.07
Ho 0.6667 0.3333 0.0899  3 Se 2.88, 3 Hg 3.07
Ho 0.6667 0.3333 0.5768  3 Se 2.88, 3 Hg 3.07
Hg 0.0000 0.0000 0.0000  6 Ho 3.07
Hg 0.3333 0.6667 0.6667  6 Ho 3.07
Hg 0.6667 0.3333 0.3333  6 Ho 3.07
Se 0.0000 0.0000 0.5000  6 Ho 2.88
Se 0.3333 0.6667 0.1667  6 Ho 2.88
Se 0.6667 0.3333 0.8333  6 Ho 2.88


# 3
## Ho4HgSe3 (GGA-PBE)

Data for an optimized crystal structure of Ho4HgSe3.

calculated density	9.177	g cm⁻³
DFT total energy	-5.03	eV per atom
Fermi-level density of states	5.82	states/eV/cell

Unit cell a=8.4653 b=11.6999 c=4.0089 alpha=90.00 beta=90.00 gamma=90.00
With the nearest neighbours (Å) after each atom.
Element x y z (fractional)
Ho 0.0000 0.2498 0.0000  5 Se 2.91-2.92, 1 Hg 2.93
Ho 0.0000 0.7502 0.0000  5 Se 2.91-2.92, 1 Hg 2.93
Ho 0.2469 0.0000 0.5000  4 Se 2.90-2.93, 2 Hg 2.93
Ho 0.2531 0.5000 0.5000  4 Se 2.90-2.93, 2 Hg 2.93
Ho 0.5000 0.2502 0.0000  5 Se 2.91-2.92, 1 Hg 2.93
Ho 0.5000 0.7498 0.0000  5 Se 2.91-2.92, 1 Hg 2.93
Ho 0.7469 0.5000 0.5000  4 Se 2.90-2.93, 2 Hg 2.93
Ho 0.7531 0.0000 0.5000  4 Se 2.90-2.93, 2 Hg 2.93
Hg 0.0000 0.5000 0.0000  6 Ho 2.93
Hg 0.5000 0.0000 0.0000  6 Ho 2.93
Se 0.0000 0.0000 0.0000  6 Ho 2.90-2.92
Se 0.2500 0.2500 0.5000  6 Ho 2.91-2.93
Se 0.2500 0.7500 0.5000  6 Ho 2.91-2.93
Se 0.5000 0.5000 0.0000  6 Ho 2.90-2.92
Se 0.7500 0.2500 0.5000  6 Ho 2.91-2.93
Se 0.7500 0.7500 0.5000  6 Ho 2.91-2.93


# 4
## Ho8HgTe4Se3 (GGA-PBE)

Data for an optimized crystal structure of Ho8HgTe4Se3.

calculated density	8.744	g cm⁻³
DFT total energy	-5.09	eV per atom
Fermi-level density of states	8.76	states/eV/cell

Unit cell a=8.4267 b=8.4267 c=8.5258 alpha=119.61 beta=119.61 gamma=60.00
With the nearest neighbours (Å) after each atom.
Element x y z (fractional)
Ho 0.2384 0.2384 0.7162  3 Se 2.86-2.87, 3 Te 3.14-3.15
Ho 0.2408 0.7425 0.7253  2 Se 2.90, 1 Hg 2.91, 3 Te 3.10
Ho 0.2581 0.2581 0.2761  2 Se 2.89, 1 Hg 2.90, 3 Te 3.10-3.11
Ho 0.2575 0.7592 0.2747  2 Se 2.90, 1 Hg 2.91, 3 Te 3.10
Ho 0.7425 0.2408 0.7253  2 Se 2.90, 1 Hg 2.91, 3 Te 3.10
Ho 0.7419 0.7419 0.7239  2 Se 2.89, 1 Hg 2.90, 3 Te 3.10-3.11
Ho 0.7592 0.2575 0.2747  2 Se 2.90, 1 Hg 2.91, 3 Te 3.10
Ho 0.7616 0.7616 0.2838  3 Se 2.86-2.87, 3 Te 3.14-3.15
Hg 0.5000 0.5000 0.5000  6 Ho 2.90-2.91
Te 0.0000 0.0000 0.0000  6 Ho 3.10
Te 0.0000 0.5000 0.0000  6 Ho 3.10-3.14
Te 0.5000 0.0000 0.0000  6 Ho 3.10-3.14
Te 0.5000 0.5000 0.0000  6 Ho 3.10-3.15
Se 0.0000 0.0000 0.5000  6 Ho 2.86-2.90
Se 0.0000 0.5000 0.5000  6 Ho 2.87-2.90
Se 0.5000 0.0000 0.5000  6 Ho 2.87-2.90


# 5
## Ho6HgTe3Se2 (GGA-PBE)

Data for an optimized crystal structure of Ho6HgTe3Se2.

calculated density	8.822	g cm⁻³
DFT total energy	-4.98	eV per atom
Fermi-level density of states	4.44	states/eV/cell

Unit cell a=7.3106 b=7.3106 c=7.4325 alpha=99.39 beta=99.39 gamma=119.84
With the nearest neighbours (Å) after each atom.
Element x y z (fractional)
Ho 0.0908 0.4252 0.7732  2 Se 2.91, 1 Hg 2.92, 3 Te 3.09-3.11
Ho 0.2418 0.2418 0.2260  2 Se 2.90, 1 Hg 2.91, 3 Te 3.10-3.12
Ho 0.4252 0.0908 0.7732  2 Se 2.91, 1 Hg 2.92, 3 Te 3.09-3.11
Ho 0.5748 0.9092 0.2268  2 Se 2.91, 1 Hg 2.92, 3 Te 3.09-3.11
Ho 0.7582 0.7582 0.7740  2 Se 2.90, 1 Hg 2.91, 3 Te 3.10-3.12
Ho 0.9092 0.5748 0.2268  2 Se 2.91, 1 Hg 2.92, 3 Te 3.09-3.11
Hg 0.5000 0.5000 0.0000  6 Ho 2.91-2.92
Te 0.0000 0.0000 0.5000  6 Ho 3.10-3.11
Te 0.3326 0.6674 0.5000  6 Ho 3.09-3.12
Te 0.6674 0.3326 0.5000  6 Ho 3.09-3.12
Se 0.1660 0.8340 0.0000  6 Ho 2.90-2.91
Se 0.8340 0.1660 0.0000  6 Ho 2.90-2.91


# 6
## Ho6Hg2TeSe3 (GGA-PBE)

Data for an optimized crystal structure of Ho6Hg2TeSe3.

calculated density	9.416	g cm⁻³
DFT total energy	-4.70	eV per atom
Fermi-level density of states	5.44	states/eV/cell

Unit cell a=9.6390 b=9.6390 c=8.6800 alpha=109.61 beta=109.61 gamma=24.12
With the nearest neighbours (Å) after each atom.
Element x y z (fractional)
Ho 0.0079 0.0079 0.2730  3 Se 2.86-2.97, 2 Te 3.07, 1 Hg 3.13
Ho 0.3250 0.3250 0.8874  3 Se 2.90-3.05, 2 Hg 3.07, 1 Te 3.10
Ho 0.3436 0.3436 0.3733  3 Se 2.77-2.86, 3 Hg 3.04-3.07
Ho 0.6564 0.6564 0.6267  3 Se 2.77-2.86, 3 Hg 3.04-3.07
Ho 0.6750 0.6750 0.1126  3 Se 2.90-3.05, 2 Hg 3.07, 1 Te 3.10
Ho 0.9921 0.9921 0.7270  3 Se 2.86-2.97, 2 Te 3.07, 1 Hg 3.13
Hg 0.1844 0.1844 0.3860  6 Ho 3.04-3.13, 2 Hg 3.28
Hg 0.8156 0.8156 0.6140  6 Ho 3.04-3.13, 2 Hg 3.28
Te 0.5000 0.5000 0.0000  6 Ho 3.07-3.10
Se 0.1600 0.1600 0.8635  6 Ho 2.86-3.05
Se 0.5000 0.5000 0.5000  6 Ho 2.77-2.86
Se 0.8400 0.8400 0.1365  6 Ho 2.86-3.05


# 7
## HoTl2HgSe4 (GGA-PBE)

Data for an optimized crystal structure of HoTl2HgSe4.

calculated density	8.062	g cm⁻³
DFT total energy	-3.68	eV per atom
Fermi-level density of states	2.52	states/eV/cell

Unit cell a=7.4252 b=4.1640 c=7.7184 alpha=90.00 beta=109.80 gamma=90.00
With the nearest neighbours (Å) after each atom.
Element x y z (fractional)
Ho 0.0000 0.0000 0.0000  6 Se 2.84-2.93
Tl 0.0000 0.5000 0.5000  6 Se 3.10-3.17
Tl 0.5000 0.0000 0.5000  6 Se 3.19-3.28
Hg 0.5000 0.5000 0.0000  6 Se 2.87-3.12
Se 0.2203 0.5000 0.2239  2 Ho 2.84, 1 Tl 3.10, 1 Hg 3.12
Se 0.2591 0.0000 0.7867  2 Hg 2.87, 1 Ho 2.93, 2 Tl 3.17
Se 0.7409 0.0000 0.2133  2 Hg 2.87, 1 Ho 2.93, 2 Tl 3.17
Se 0.7797 0.5000 0.7761  2 Ho 2.84, 1 Tl 3.10, 1 Hg 3.12


# 8
## Ho6Si2Hg (GGA-PBE)

Data for an optimized crystal structure of Ho6Si2Hg.

calculated density	8.971	g cm⁻³
DFT total energy	-4.81	eV per atom
Fermi-level density of states	13.99	states/eV/cell

Unit cell a=8.4392 b=8.4392 c=8.4392 alpha=111.25 beta=111.22 gamma=106.00
With the nearest neighbours (Å) after each atom.
Element x y z (fractional)
Ho 0.0462 0.2465 0.7996  2 Si 2.94-3.17, 2 Hg 3.15-3.21
Ho 0.1809 0.2730 0.4539  3 Si 3.01-3.12, 1 Hg 3.12
Ho 0.1809 0.7270 0.9079  3 Si 3.01-3.12, 1 Hg 3.12
Ho 0.3232 0.0269 0.7037  3 Si 2.85-2.96
Ho 0.3232 0.6196 0.2963  3 Si 2.85-2.96
Ho 0.4469 0.2465 0.2004  2 Si 2.94-3.17, 2 Hg 3.15-3.21
Ho 0.5531 0.7535 0.7996  2 Si 2.94-3.17, 2 Hg 3.15-3.21
Ho 0.6768 0.3804 0.7037  3 Si 2.85-2.96
Ho 0.6768 0.9731 0.2963  3 Si 2.85-2.96
Ho 0.8191 0.2730 0.0921  3 Si 3.01-3.12, 1 Hg 3.12
Ho 0.8191 0.7270 0.5461  3 Si 3.01-3.12, 1 Hg 3.12
Ho 0.9538 0.7535 0.2004  2 Si 2.94-3.17, 2 Hg 3.15-3.21
Si 0.1177 0.6177 0.5000  1 Si 2.39
Si 0.3611 0.0000 0.3611  1 Si 2.65, 6 Ho 2.94-2.96
Si 0.6389 0.0000 0.6389  1 Si 2.65, 6 Ho 2.94-2.96
Si 0.8823 0.3823 0.5000  1 Si 2.39
Hg 0.0000 0.0000 0.0000  8 Ho 3.12-3.15, 2 Si 3.44
Hg 0.5000 0.5000 0.0000  8 Ho 3.21-3.35


# 9
## TbHoSiHg (GGA-PBE)

Data for an optimized crystal structure of TbHoSiHg.

calculated density	9.721	g cm⁻³
DFT total energy	-4.19	eV per atom
Fermi-level density of states	12.55	states/eV/cell

Unit cell a=7.2275 b=7.2275 c=7.2275 alpha=90.00 beta=90.00 gamma=90.00
With the nearest neighbours (Å) after each atom.
Element x y z (fractional)
Tb 0.0000 0.0000 0.0000  4 Hg 3.13, 4 Si 3.13
Tb 0.0000 0.5000 0.5000  4 Hg 3.13, 4 Si 3.13
Tb 0.5000 0.0000 0.5000  4 Hg 3.13, 4 Si 3.13
Tb 0.5000 0.5000 0.0000  4 Hg 3.13, 4 Si 3.13
Ho 0.0000 0.0000 0.5000  4 Si 3.13, 4 Hg 3.13
Ho 0.0000 0.5000 0.0000  4 Si 3.13, 4 Hg 3.13
Ho 0.5000 0.0000 0.0000  4 Si 3.13, 4 Hg 3.13
Ho 0.5000 0.5000 0.5000  4 Si 3.13, 4 Hg 3.13
Si 0.2500 0.2500 0.7500  4 Tb 3.13, 4 Ho 3.13
Si 0.2500 0.7500 0.2500  4 Tb 3.13, 4 Ho 3.13
Si 0.7500 0.2500 0.2500  4 Tb 3.13, 4 Ho 3.13
Si 0.7500 0.7500 0.7500  4 Tb 3.13, 4 Ho 3.13
Hg 0.2500 0.2500 0.2500  4 Tb 3.13, 4 Ho 3.13
Hg 0.2500 0.7500 0.7500  4 Tb 3.13, 4 Ho 3.13
Hg 0.7500 0.2500 0.7500  4 Tb 3.13, 4 Ho 3.13
Hg 0.7500 0.7500 0.2500  4 Tb 3.13, 4 Ho 3.13


# 10
## Ho6Si2HgTe3 (GGA-PBE)

Data for an optimized crystal structure of Ho6Si2HgTe3.

calculated density	8.216	g cm⁻³
DFT total energy	-4.99	eV per atom
Fermi-level density of states	6.83	states/eV/cell

Unit cell a=9.5957 b=9.5957 c=8.6723 alpha=105.04 beta=105.04 gamma=25.33
With the nearest neighbours (Å) after each atom.
Element x y z (fractional)
Ho 0.0090 0.0090 0.2548  1 Si 2.84, 2 Hg 3.02, 3 Te 3.03-3.13
Ho 0.3252 0.3252 0.4368  3 Si 2.87-2.88, 3 Te 3.17-3.18
Ho 0.3314 0.3314 0.8924  2 Si 2.87, 3 Te 3.03-3.17, 1 Hg 3.04
Ho 0.6686 0.6686 0.1076  2 Si 2.87, 3 Te 3.03-3.17, 1 Hg 3.04
Ho 0.6748 0.6748 0.5632  3 Si 2.87-2.88, 3 Te 3.17-3.18
Ho 0.9910 0.9910 0.7452  1 Si 2.84, 2 Hg 3.02, 3 Te 3.03-3.13
Si 0.1664 0.1664 0.3315  6 Ho 2.84-2.88
Si 0.8336 0.8336 0.6685  6 Ho 2.84-2.88
Hg 0.5000 0.5000 0.0000  6 Ho 3.02-3.04
Te 0.1642 0.1642 0.8312  6 Ho 3.03-3.18
Te 0.5000 0.5000 0.5000  6 Ho 3.03-3.17
Te 0.8358 0.8358 0.1688  6 Ho 3.03-3.18